Density functional theory data (PBE with a Hubbard U) for a relaxed structure of Na3Tb3VO8.

Cell lengths 6.7152, 6.6975, 6.7822 Å; angles 119.81, 90.00, 120.09 degrees
Fractional coordinates of all 15 atoms:
O1 0.7385 0.4771 0.7132
O2 0.2141 0.9807 0.6946
Na1 0.0000 0.5000 0.0000
O3 0.2615 0.5229 0.2868
Na2 0.5000 0.5000 0.0000
Tb1 0.0000 0.5000 0.5000
O4 0.2333 0.0193 0.3054
O5 0.7667 0.9807 0.6946
O6 0.7859 0.0193 0.3054
Tb2 0.5000 0.5000 0.5000
O7 0.2095 0.4190 0.6907
V1 0.0000 0.0000 0.5000
Na3 0.0000 0.0000 0.0000
Tb3 0.5000 0.0000 0.5000
O8 0.7905 0.5810 0.3093

Output
Symmetry   C2/m, No. 12
D(E_F)   0.000 states/eV per cell
Calculated total energy   -104.237 eV/cell